1.
Ca2Pd2Au3 | PBE | relaxed

Properties
V = 146 Å³/cell
Magnetic moment = 0.0 Bohr magnetons per cell
DFT formation energy = -648 meV per atom
Mass density = 10.1 g/cm³

a = 4.5112 Å, b = 5.4091 Å, c = 7.0820 Å
α = 109.82°, β = 90.00°, γ = 114.65°
Closest atoms and distances in Å follow each position.
Positions (direct):
Ca (0.8588, 0.7177, 0.2337)  4 Pd 2.88-3.06, 3 Au 3.16-3.20
Ca (0.1412, 0.2823, 0.7663)  4 Pd 2.88-3.06, 3 Au 3.16-3.20
Pd (0.8596, 0.7192, 0.8036)  5 Au 2.74-2.87, 4 Ca 2.88-3.06
Pd (0.1404, 0.2808, 0.1964)  5 Au 2.74-2.87, 4 Ca 2.88-3.06
Au (0.5000, 0.0000, 0.0000)  4 Pd 2.74, 2 Au 2.88
Au (0.6236, 0.2471, 0.4384)  3 Pd 2.76-2.87, 2 Au 2.87-2.88
Au (0.3764, 0.7529, 0.5616)  3 Pd 2.76-2.87, 2 Au 2.87-2.88

2.
CrOsW | PBE | relaxed

Properties
ΔE to the lowest computed polymorph = 115.2 meV per atom
V = 173 Å³/cell
Magnetic moment = 0.0 Bohr magnetons per cell
DFT formation energy = 273 meV per atom
Mass density = 16.4 g/cm³

a = 4.7505 Å, b = 4.6927 Å, c = 9.3049 Å
α = 82.58°, β = 75.21°, γ = 59.59°
Closest atoms and distances in Å follow each position.
Positions (direct):
Os (0.1791, 0.5000, 0.6419)  4 Cr 2.54-2.57, 1 Os 2.55
Os (0.3209, 0.5000, 0.3581)  4 Cr 2.54-2.57, 1 Os 2.55
Os (0.5709, 0.0000, 0.8581)  4 Cr 2.54-2.57, 1 Os 2.55
Os (0.4291, 0.0000, 0.1419)  4 Cr 2.54-2.57, 1 Os 2.55
Cr (0.6249, 0.5000, 0.7503)  2 Cr 2.35, 4 Os 2.54-2.57, 2 W 2.62
Cr (0.8751, 0.5000, 0.2497)  2 Cr 2.35, 4 Os 2.54-2.57, 2 W 2.62
Cr (0.1251, 0.0000, 0.7497)  2 Cr 2.35, 4 Os 2.54-2.57, 2 W 2.62
Cr (0.8749, 0.0000, 0.2503)  2 Cr 2.35, 4 Os 2.54-2.57, 2 W 2.62
W (0.9220, 0.1560, 0.5000)  4 Cr 2.62-2.65, 3 W 2.69-2.78
W (0.5780, 0.8440, 0.5000)  4 Cr 2.62-2.65, 3 W 2.69-2.78
W (0.8280, 0.3440, 0.0000)  4 Cr 2.62-2.65, 3 W 2.69-2.78
W (0.1720, 0.6560, 0.0000)  4 Cr 2.62-2.65, 3 W 2.69-2.78

3.
SnPd4S | PBE | relaxed

Properties
V = 211 Å³/cell
Magnetic moment = 0.0 Bohr magnetons per cell
Mass density = 9.1 g/cm³
Formation energy from raw total energies = -0.1964 eV/atom

a = 3.0911 Å, b = 9.4208 Å, c = 7.4766 Å
α = 101.23°, β = 90.00°, γ = 99.44°
Closest atoms and distances in Å follow each position.
Positions (direct):
Sn (0.1841, 0.3681, 0.2289)  8 Pd 2.59-2.89
Sn (0.8159, 0.6319, 0.7711)  8 Pd 2.59-2.89
Pd (0.0477, 0.0954, 0.3608)  2 S 2.39-2.43
Pd (0.0666, 0.1333, 0.9769)  1 S 2.28
Pd (0.7998, 0.5996, 0.4099)  1 S 2.38, 1 Sn 2.66
Pd (0.6870, 0.3740, 0.9102)  2 S 2.74, 3 Sn 2.79-2.85, 6 Pd 2.84-2.90
Pd (0.3130, 0.6260, 0.0898)  2 S 2.74, 3 Sn 2.79-2.85, 6 Pd 2.84-2.90
Pd (0.2002, 0.4004, 0.5901)  1 S 2.38, 1 Sn 2.66
Pd (0.9334, 0.8667, 0.0231)  1 S 2.28
Pd (0.9523, 0.9046, 0.6392)  2 S 2.39-2.43
S (0.0855, 0.1709, 0.6848)  4 Pd 2.28-2.43
S (0.9145, 0.8291, 0.3152)  4 Pd 2.28-2.43

4.
K2AgOs | PBE | relaxed

Properties
ΔE to the lowest computed polymorph = 155.4 meV per atom
V = 88 Å³/cell
Magnetic moment = 0.5 Bohr magnetons per cell
DFT formation energy = 1020 meV per atom
Mass density = 7.1 g/cm³

a = 11.7745 Å, b = 11.7745 Å, c = 11.7745 Å
α = 14.40°, β = 14.40°, γ = 14.40°
Closest atoms and distances in Å follow each position.
Positions (direct):
Ag (0.7500, 0.7500, 0.7500)  6 Ag 2.95
K (0.9958, 0.9958, 0.9958)  6 K 2.95, 3 Os 3.25
K (0.5042, 0.5042, 0.5042)  6 K 2.95, 3 Os 3.25
Os (0.2500, 0.2500, 0.2500)  6 Os 2.95, 6 K 3.25

5.
TbYN | PBE | relaxed

Properties
ΔE to the lowest computed polymorph = 0.0 meV per atom
V = 64 Å³/cell
Magnetic moment = 0.8 Bohr magnetons per cell
Mass density = 6.8 g/cm³
Formation energy from raw total energies = -1.0314 eV/atom

a = 3.5156 Å, b = 3.5156 Å, c = 6.0125 Å
α = 90.00°, β = 90.00°, γ = 120.00°
Closest atoms and distances in Å follow each position.
Positions (direct):
Y (0.3333, 0.6667, 0.5566)  3 N 2.43
Tb (0.0000, 0.0000, 0.1103)  3 N 2.43
N (0.6667, 0.3333, 0.3331)  3 Tb 2.43, 3 Y 2.43

6.
Tb2CoN | PBE | relaxed

Properties
V = 71 Å³/cell
Magnetic moment = 0.5 Bohr magnetons per cell
Mass density = 9.1 g/cm³
Formation energy from raw total energies = -0.6286 eV/atom

a = 3.5043 Å, b = 3.5043 Å, c = 6.9903 Å
α = 75.48°, β = 75.48°, γ = 60.00°
Closest atoms and distances in Å follow each position.
Positions (direct):
Co (0.0000, 0.0000, 0.0000)  6 Tb 2.80
Tb (0.2368, 0.2368, 0.2897)  3 N 2.46
Tb (0.7632, 0.7632, 0.7103)  3 N 2.46
N (0.5000, 0.5000, 0.5000)  6 Tb 2.46

- Which value of V does entry 6 give?
  71 Å³/cell